First-principles (PBE) data for a geometry-optimized PmDyBeCd structure, as listed in Alexandria via LeMat-Bulk.

Summary:
* formation energy: -0.015 eV per atom

```
PmDyBeCd
1.0
5.159 0.000 0.000
2.579 4.468 0.000
2.579 1.489 4.212
Cd Dy Pm Be
1 1 1 1
direct
0.750 0.750 0.750
0.500 0.500 0.500
0.000 0.000 0.000
0.250 0.250 0.250
```

---

First-principles (PBE) data for a geometry-optimized CaMgBr2 structure, as listed in Alexandria via LeMat-Bulk.

Summary:
* ΔE_f (raw): -0.897 eV/atom
* energy relative to the lowest polymorph listed for this composition: 340 meV/atom

```
CaMgBr2
1.0
-4.172 -1.853 -2.251
2.915 -2.564 -3.291
0.054 -3.359 2.665
Br Ca Mg
2 1 1
direct
0.500 0.500 0.000
0.000 0.000 0.000
0.500 0.000 0.500
0.000 0.500 0.500
```